Record 1
Crystalline LaPtSe4 at its relaxed geometry. Source: Alexandria, functional PBE-GGA.

Cell lengths 5.700, 5.700, 5.700 Å; angles 60.00, 60.00, 60.00 degrees
Sites, in units of the cell vectors:
La: 0.750 0.750 0.750
Se: 0.879 0.374 0.374
Se: 0.374 0.879 0.374
Se: 0.374 0.374 0.374
Pt: 0.000 0.000 0.000
Se: 0.374 0.374 0.879

Computed properties:
Raw formation energy: -0.10 eV per atom
Total energy: -4.2474 eV/atom

=====

Record 2
Crystalline LaPt4Se at its relaxed geometry. Source: Alexandria, functional PBE-GGA.

Cell lengths 5.465, 5.465, 5.465 Å; angles 60.00, 60.00, 60.00 degrees
Sites, in units of the cell vectors:
La: 0.000 0.000 0.000
Pt: 0.375 0.875 0.375
Se: 0.750 0.750 0.750
Pt: 0.875 0.375 0.375
Pt: 0.375 0.375 0.875
Pt: 0.375 0.375 0.375

Computed properties:
Raw formation energy: -0.58 eV per atom
Total energy: -6.0116 eV/atom